# CsNaLi2Br

CsNaLi2Br after structural relaxation (PBE, Alexandria).

Properties
E_tot	-8.59	eV per cell
ΔE_f (raw)	-0.9	eV per formula unit
space-group type	P4/mmm, No. 123
mass density	1576	kg/m3

Lattice parameters (Å, degrees): 5.440 5.440 8.889 90.00 90.00 90.00
Fractional positions:
1 Cs 0.000 0.000 0.000
2 Na 0.000 0.000 0.500
3 Li 0.000 0.500 0.500
4 Li 0.500 0.000 0.500
5 Br 0.500 0.500 0.000